ErCr2SbO6 after structural relaxation, computed with PBE+U.

Values from the calculation:
As for the space-group type: R3, No. 146. As for the total energy: -7.483 eV per atom.

Lattice parameters (Å, degrees): 5.5013 5.5014 5.5522 60.32 60.30 60.00
With the nearest neighbours (Å) after each atom.
Element x y z (fractional)
O1 0.8517 0.6802 0.2293  2 Cr 1.99-2.02
Sb1 0.3006 0.3010 0.0978  6 O 2.25-2.36
O2 0.7255 0.1632 0.7416  2 Cr 2.05-2.07, 1 Sb 2.25, 1 Er 2.27
Cr1 0.5191 0.5191 0.4427  6 O 1.99-2.07
O3 0.6801 0.2384 0.2297  2 Cr 1.99-2.02
O4 0.2383 0.8515 0.2298  2 Cr 1.99-2.02
O5 0.1631 0.3696 0.7420  2 Cr 2.05-2.07, 1 Sb 2.25, 1 Er 2.27
Cr2 0.0163 0.0164 0.9510  6 O 2.02-2.05
O6 0.3698 0.7252 0.7420  2 Cr 2.05-2.07, 1 Sb 2.25, 1 Er 2.27
Er1 0.7970 0.7970 0.6092  6 O 2.27-2.34